# TiNb5Mo4

An optimized crystal structure of TiNb5Mo4 (GGA-PBE, the Alexandria database).

Cell lengths 3.2355, 3.2355, 16.2576 Å; angles 90.00, 90.00, 90.00 degrees
With the nearest neighbours (Å) after each atom.
Fractional coordinates of all 10 atoms:
Ti  0.0000  0.0000  0.0000  8 Nb 2.86
Nb  0.5000  0.5000  0.1053  4 Mo 2.76, 4 Ti 2.86
Nb  0.5000  0.5000  0.3017  8 Mo 2.80-2.82
Nb  0.5000  0.5000  0.5000  8 Mo 2.80
Nb  0.5000  0.5000  0.6983  8 Mo 2.80-2.82
Nb  0.5000  0.5000  0.8947  4 Mo 2.76, 4 Ti 2.86
Mo  0.0000  0.0000  0.2007  8 Nb 2.76-2.82
Mo  0.0000  0.0000  0.4008  8 Nb 2.80
Mo  0.0000  0.0000  0.5992  8 Nb 2.80
Mo  0.0000  0.0000  0.7993  8 Nb 2.76-2.82

Computed properties:
* ΔE_f: -0.1006 eV per atom
* ρ: 8744 kg/m³
* calculated total energy: -0.7539 Ry/atom

# Ti3Nb2Mo7

An optimized crystal structure of Ti3Nb2Mo7 (GGA-PBE, the Alexandria database).

Cell lengths 10.9925, 10.9925, 4.5341 Å; angles 90.00, 90.00, 156.88 degrees
With the nearest neighbours (Å) after each atom.
Fractional coordinates of all 12 atoms:
Ti  0.0000  0.0000  0.0000  8 Mo 2.70-2.77
Ti  0.1523  0.8477  0.0000  6 Mo 2.68-2.83
Ti  0.8477  0.1523  0.0000  6 Mo 2.68-2.83
Nb  0.3546  0.6454  0.5000  7 Mo 2.69-2.93
Nb  0.6454  0.3546  0.5000  7 Mo 2.69-2.93
Mo  0.0739  0.9261  0.5000  2 Nb 2.69, 2 Mo 2.72, 4 Ti 2.77-2.83
Mo  0.2184  0.7816  0.5000  2 Mo 2.59, 2 Ti 2.68, 2 Nb 2.71
Mo  0.4278  0.5722  0.0000  4 Ti 2.70-2.80, 2 Mo 2.75, 2 Nb 2.76
Mo  0.5000  0.5000  0.5000  8 Mo 2.72-2.75
Mo  0.5722  0.4278  0.0000  4 Ti 2.70-2.80, 2 Mo 2.75, 2 Nb 2.76
Mo  0.7816  0.2184  0.5000  2 Mo 2.59, 2 Ti 2.68, 2 Nb 2.71
Mo  0.9261  0.0739  0.5000  2 Nb 2.69, 2 Mo 2.72, 4 Ti 2.77-2.83

Computed properties:
* ΔE_f: 0.3129 eV per atom
* ρ: 7728 kg/m³
* calculated total energy: -0.7098 Ry/atom

# Ti2NbMo2

An optimized crystal structure of Ti2NbMo2 (GGA-PBE, the Alexandria database).

Cell lengths 4.6922, 2.6205, 7.2544 Å; angles 90.00, 108.70, 90.00 degrees
With the nearest neighbours (Å) after each atom.
Fractional coordinates of all 5 atoms:
Ti  0.1045  0.0000  0.2110  3 Ti 2.62-2.90
Ti  0.8955  0.0000  0.7890  3 Ti 2.62-2.90
Nb  0.5000  0.5000  0.0000  2 Nb 2.62, 2 Mo 2.71
Mo  0.3031  0.5000  0.6050  4 Mo 2.62-2.76, 1 Nb 2.71
Mo  0.6969  0.5000  0.3950  4 Mo 2.62-2.76, 1 Nb 2.71

Computed properties:
* ΔE_f: 0.1419 eV per atom
* ρ: 7478 kg/m³
* calculated total energy: -0.6881 Ry/atom

# TiNbMo

An optimized crystal structure of TiNbMo (GGA-PBE, the Alexandria database).

Cell lengths 6.7615, 6.7615, 6.7615 Å; angles 60.00, 60.00, 60.00 degrees
With the nearest neighbours (Å) after each atom.
Fractional coordinates of all 12 atoms:
Ti  0.1032  0.1032  0.1032  3 Mo 2.58, 3 Ti 2.79
Ti  0.1032  0.1032  0.6905  3 Mo 2.58, 3 Ti 2.79
Ti  0.1032  0.6905  0.1032  3 Mo 2.58, 3 Ti 2.79
Ti  0.6905  0.1032  0.1032  3 Mo 2.58, 3 Ti 2.79
Nb  0.0589  0.6470  0.6470  3 Mo 2.65, 3 Nb 2.78
Nb  0.6470  0.0589  0.6470  3 Mo 2.65, 3 Nb 2.78
Nb  0.6470  0.6470  0.0589  3 Mo 2.65, 3 Nb 2.78
Nb  0.6470  0.6470  0.6470  3 Mo 2.65, 3 Nb 2.78
Mo  0.3710  0.3710  0.3710  3 Ti 2.58, 3 Nb 2.65
Mo  0.3710  0.3710  0.8869  3 Ti 2.58, 3 Nb 2.65
Mo  0.3710  0.8869  0.3710  3 Ti 2.58, 3 Nb 2.65
Mo  0.8869  0.3710  0.3710  3 Ti 2.58, 3 Nb 2.65

Computed properties:
* ΔE_f: 0.4899 eV per atom
* ρ: 7193 kg/m³
* calculated total energy: -0.6695 Ry/atom